Record 1
# CsKHf2 GGA-PBE optimized geometry
data_CsKHf2
_cell_length_a 8.1567
_cell_length_b 8.1567
_cell_length_c 8.1567
_cell_angle_alpha 90.00
_cell_angle_beta 90.00
_cell_angle_gamma 90.00
_symmetry_space_group_name_H-M 'F m -3 m'
_symmetry_Int_Tables_number 225
_symmetry_space_group_name_Hall '-F 4 2 3'
loop_
_atom_site_label
_atom_site_fract_x
_atom_site_fract_y
_atom_site_fract_z
Cs1 0.0000 0.0000 0.0000
K1 0.0000 0.0000 0.5000
Hf1 0.2500 0.2500 0.2500
# Final energy, eV per cell: -57.43
# Formation enthalpy at 0 K, eV/atom: 1.88
# Total magnetic moment, μB per formula unit: 0.00

=====

Record 2
# CsKHf2Ni GGA-PBE optimized geometry
data_CsKHf2Ni
_cell_length_a 5.1997
_cell_length_b 5.1997
_cell_length_c 5.8710
_cell_angle_alpha 90.00
_cell_angle_beta 90.00
_cell_angle_gamma 90.00
_symmetry_space_group_name_H-M 'P 4/m m m'
_symmetry_Int_Tables_number 123
_symmetry_space_group_name_Hall '-P 4 2'
loop_
_atom_site_label
_atom_site_fract_x
_atom_site_fract_y
_atom_site_fract_z
Cs1 0.0000 0.0000 0.0000
K1 0.0000 0.0000 0.5000
Hf1 0.0000 0.5000 0.5000
Ni1 0.5000 0.5000 0.0000
# Final energy, eV per cell: -15.03
# Formation enthalpy at 0 K, eV/atom: 2.52
# Total magnetic moment, μB per formula unit: 0.69
# Excess energy over the best structure of this formula in the dataset, eV per atom: 1.735

=====

Record 3
# CsKHf2Ni GGA-PBE optimized geometry
data_CsKHf2Ni
_cell_length_a 4.9472
_cell_length_b 4.9472
_cell_length_c 6.6408
_cell_angle_alpha 90.00
_cell_angle_beta 90.00
_cell_angle_gamma 90.00
_symmetry_space_group_name_H-M 'P 4/m m m'
_symmetry_Int_Tables_number 123
_symmetry_space_group_name_Hall '-P 4 2'
loop_
_atom_site_label
_atom_site_fract_x
_atom_site_fract_y
_atom_site_fract_z
Cs1 0.0000 0.0000 0.0000
K1 0.5000 0.5000 0.0000
Hf1 0.0000 0.5000 0.5000
Ni1 0.5000 0.5000 0.5000
# Final energy, eV per cell: -23.71
# Formation enthalpy at 0 K, eV/atom: 0.79
# Total magnetic moment, μB per formula unit: 1.14
# Excess energy over the best structure of this formula in the dataset, eV per atom: 0.000

=====

Record 4
# Cs2KHfNi GGA-PBE optimized geometry
data_Cs2KHfNi
_cell_length_a 7.7516
_cell_length_b 7.7516
_cell_length_c 4.6147
_cell_angle_alpha 90.00
_cell_angle_beta 90.00
_cell_angle_gamma 90.00
_symmetry_space_group_name_H-M 'P 4/m m m'
_symmetry_Int_Tables_number 123
_symmetry_space_group_name_Hall '-P 4 2'
loop_
_atom_site_label
_atom_site_fract_x
_atom_site_fract_y
_atom_site_fract_z
Cs1 0.0000 0.5000 0.0000
K1 0.0000 0.0000 0.5000
Hf1 0.5000 0.5000 0.0000
Ni1 0.5000 0.5000 0.5000
# Final energy, eV per cell: -14.14
# Formation enthalpy at 0 K, eV/atom: 0.88
# Total magnetic moment, μB per formula unit: 0.00

=====

Record 5
# Cs2KHf3O8 GGA-PBE optimized geometry
data_Cs2KHf3O8
_cell_length_a 6.5637
_cell_length_b 6.5637
_cell_length_c 21.3194
_cell_angle_alpha 90.00
_cell_angle_beta 90.00
_cell_angle_gamma 120.00
_symmetry_space_group_name_H-M 'R 3 m'
_symmetry_Int_Tables_number 160
_symmetry_space_group_name_Hall 'R 3 -2"'
loop_
_atom_site_label
_atom_site_fract_x
_atom_site_fract_y
_atom_site_fract_z
Cs1 0.0000 0.0000 0.0000
Cs2 0.0000 0.0000 0.3678
K1 0.0000 0.0000 0.7541
Hf1 0.1670 0.3339 0.2004
O1 0.0000 0.0000 0.1487
O2 0.0000 0.0000 0.5858
O3 0.0399 0.5200 0.1505
O4 0.1881 0.3762 0.9171
# Uncorrected formation energy, kJ/mol of atoms: -254.9
# Final energy, eV per cell: -327.95
# Total magnetic moment, μB per formula unit: 1.05

=====

Record 6
# Cs2KHfRe GGA-PBE optimized geometry
data_Cs2KHfRe
_cell_length_a 6.0553
_cell_length_b 6.0553
_cell_length_c 5.6020
_cell_angle_alpha 90.00
_cell_angle_beta 90.00
_cell_angle_gamma 90.00
_symmetry_space_group_name_H-M 'P 4/m m m'
_symmetry_Int_Tables_number 123
_symmetry_space_group_name_Hall '-P 4 2'
loop_
_atom_site_label
_atom_site_fract_x
_atom_site_fract_y
_atom_site_fract_z
Cs1 0.0000 0.5000 0.0000
K1 0.0000 0.0000 0.0000
Hf1 0.5000 0.5000 0.5000
Re1 0.0000 0.0000 0.5000
# Final energy, eV per cell: -12.52
# Formation enthalpy at 0 K, eV/atom: 2.54
# Total magnetic moment, μB per formula unit: 1.34

=====

Record 7
# CsKHfRe2 GGA-PBE optimized geometry
data_CsKHfRe2
_cell_length_a 5.0700
_cell_length_b 5.0700
_cell_length_c 5.2692
_cell_angle_alpha 90.00
_cell_angle_beta 90.00
_cell_angle_gamma 90.00
_symmetry_space_group_name_H-M 'P 4/m m m'
_symmetry_Int_Tables_number 123
_symmetry_space_group_name_Hall '-P 4 2'
loop_
_atom_site_label
_atom_site_fract_x
_atom_site_fract_y
_atom_site_fract_z
Cs1 0.0000 0.0000 0.0000
K1 0.0000 0.0000 0.5000
Hf1 0.5000 0.5000 0.5000
Re1 0.0000 0.5000 0.0000
# Final energy, eV per cell: -20.84
# Formation enthalpy at 0 K, eV/atom: 3.19
# Total magnetic moment, μB per formula unit: 0.00

=====

Record 8
# Cs2KHfS GGA-PBE optimized geometry
data_Cs2KHfS
_cell_length_a 7.2298
_cell_length_b 7.2298
_cell_length_c 5.4506
_cell_angle_alpha 90.00
_cell_angle_beta 90.00
_cell_angle_gamma 90.00
_symmetry_space_group_name_H-M 'P 4/m m m'
_symmetry_Int_Tables_number 123
_symmetry_space_group_name_Hall '-P 4 2'
loop_
_atom_site_label
_atom_site_fract_x
_atom_site_fract_y
_atom_site_fract_z
Cs1 0.0000 0.5000 0.0000
K1 0.0000 0.0000 0.0000
Hf1 0.5000 0.5000 0.5000
S1 0.0000 0.0000 0.5000
# Uncorrected formation energy, kJ/mol of atoms: 77.0
# Final energy, eV per cell: -12.89
# Total magnetic moment, μB per formula unit: 3.00

=====

Record 9
# CsKHfS3 GGA-PBE optimized geometry
data_CsKHfS3
_cell_length_a 7.6405
_cell_length_b 14.8977
_cell_length_c 6.9565
_cell_angle_alpha 90.00
_cell_angle_beta 100.36
_cell_angle_gamma 90.00
_symmetry_space_group_name_H-M 'C 1 2/c 1'
_symmetry_Int_Tables_number 15
loop_
_symmetry_equiv_pos_as_xyz
'x,y,z'
'-x,-y,-z'
'-x,y,-z+1/2'
'x,-y,z+1/2'
'x+1/2,y+1/2,z'
'-x+1/2,-y+1/2,-z'
'-x+1/2,y+1/2,-z+1/2'
'x+1/2,-y+1/2,z+1/2'
loop_
_atom_site_label
_atom_site_fract_x
_atom_site_fract_y
_atom_site_fract_z
Cs1 0.0000 0.2495 0.2500
K1 0.0000 0.0856 0.7500
Hf1 0.0000 0.4522 0.7500
S1 0.0000 0.2934 0.7500
S2 0.2118 0.4650 0.5000
# Uncorrected formation energy, kJ/mol of atoms: -145.4
# Final energy, eV per cell: -133.32
# Total magnetic moment, μB per formula unit: 0.00

=====

Record 10
# CsK2Hf3S8 GGA-PBE optimized geometry
data_CsK2Hf3S8
_cell_length_a 7.6002
_cell_length_b 7.6002
_cell_length_c 24.2287
_cell_angle_alpha 90.00
_cell_angle_beta 90.00
_cell_angle_gamma 120.00
_symmetry_space_group_name_H-M 'R 3 m'
_symmetry_Int_Tables_number 160
_symmetry_space_group_name_Hall 'R 3 -2"'
loop_
_atom_site_label
_atom_site_fract_x
_atom_site_fract_y
_atom_site_fract_z
Cs1 0.0000 0.0000 0.0000
K1 0.0000 0.0000 0.3540
K2 0.0000 0.0000 0.7164
Hf1 0.1670 0.3340 0.1880
S1 0.0000 0.0000 0.1312
S2 0.0000 0.0000 0.5820
S3 0.0272 0.5136 0.1289
S4 0.1811 0.3623 0.9119
# Uncorrected formation energy, kJ/mol of atoms: -130.9
# Final energy, eV per cell: -254.77
# Total magnetic moment, μB per formula unit: 0.21

=====

Record 11
# CsKHfTa2 GGA-PBE optimized geometry
data_CsKHfTa2
_cell_length_a 5.1262
_cell_length_b 5.1262
_cell_length_c 6.8063
_cell_angle_alpha 90.00
_cell_angle_beta 90.00
_cell_angle_gamma 90.00
_symmetry_space_group_name_H-M 'P 4/m m m'
_symmetry_Int_Tables_number 123
_symmetry_space_group_name_Hall '-P 4 2'
loop_
_atom_site_label
_atom_site_fract_x
_atom_site_fract_y
_atom_site_fract_z
Cs1 0.0000 0.0000 0.0000
K1 0.5000 0.5000 0.0000
Hf1 0.5000 0.5000 0.5000
Ta1 0.0000 0.5000 0.5000
# Final energy, eV per cell: -27.21
# Formation enthalpy at 0 K, eV/atom: 1.68
# Total magnetic moment, μB per formula unit: 0.80

=====

Record 12
# CsKHfTe3 GGA-PBE optimized geometry
data_CsKHfTe3
_cell_length_a 12.2600
_cell_length_b 9.3624
_cell_length_c 9.8296
_cell_angle_alpha 90.00
_cell_angle_beta 109.07
_cell_angle_gamma 90.00
_symmetry_space_group_name_H-M 'C 1 2/m 1'
_symmetry_Int_Tables_number 12
loop_
_symmetry_equiv_pos_as_xyz
'x,y,z'
'-x,-y,-z'
'-x,y,-z'
'x,-y,z'
'x+1/2,y+1/2,z'
'-x+1/2,-y+1/2,-z'
'-x+1/2,y+1/2,-z'
'x+1/2,-y+1/2,z'
loop_
_atom_site_label
_atom_site_fract_x
_atom_site_fract_y
_atom_site_fract_z
Cs1 0.1631 0.0000 0.1742
K1 0.0000 0.2607 0.5000
Hf1 0.0838 0.5000 0.1449
Te1 0.0833 0.2961 0.8747
Te2 0.2458 0.5000 0.4073
# Uncorrected formation energy, kJ/mol of atoms: -77.3
# Final energy, eV per cell: -104.54
# Total magnetic moment, μB per formula unit: 0.00